The following is a DFT calculation (GGA-PBE) of CrCo2Os after structural relaxation. Values from VASP.

Quantum ESPRESSO input file:
```
&SYSTEM
  ibrav = 0, nat = 4, ntyp = 3
/
ATOMIC_SPECIES
Cr 52.00 Cr.upf
Co 58.93 Co.upf
Os 190.23 Os.upf
CELL_PARAMETERS angstrom
3.5692 0.0000 0.0000
0.0000 3.5692 0.0000
0.0000 0.0000 3.6761
ATOMIC_POSITIONS crystal
Cr 0.0000 0.0000 0.0000
Co 0.0000 0.5000 0.5000
Co 0.5000 0.0000 0.5000
Os 0.5000 0.5000 0.0000
```

**ΔE to the lowest computed polymorph**: 36 meV per atom
**E_tot**: -8.72 eV/atom
**Magnetization**: 0.26 μB/cell

=====

The following is a DFT calculation (GGA-PBE) of CuF5 after structural relaxation. Values from VASP.

Quantum ESPRESSO input file:
```
&SYSTEM
  ibrav = 0, nat = 6, ntyp = 2
/
ATOMIC_SPECIES
Cu 63.55 Cu.upf
F 19.00 F.upf
CELL_PARAMETERS angstrom
1.4449 -4.8638 0.0000
1.4449 4.8638 0.0000
0.0000 0.0000 5.1425
ATOMIC_POSITIONS crystal
Cu 0.0000 0.0000 0.0000
F 0.1703 0.8297 0.5000
F 0.3774 0.6226 0.0000
F 0.5000 0.5000 0.5000
F 0.6226 0.3774 0.0000
F 0.8297 0.1703 0.5000
```

**ΔE to the lowest computed polymorph**: 239 meV per atom
**Uncorrected formation energy**: -0.53 eV/atom
**E_tot**: -2.77 eV/atom
**Magnetization**: 3.12 μB/cell